# 1
# Ba2CaNiIr

A relaxed structure of Ba2CaNiIr (PBE, Alexandria).

Total magnetic moment = 0.00 μB/cell
DFT formation energy = 272 meV per atom
V = 179.7 Å³ per cell

a b c (Å): 6.1745 4.7128 6.1745
angles (deg): 90.00 90.00 90.00
Positions (direct):
Ni1 0.0000 0.5000 0.0000
Ba1 0.0000 0.0000 0.5000
Ba2 0.5000 0.0000 0.0000
Ca1 0.5000 0.5000 0.5000
Ir1 0.0000 0.0000 0.0000

# 2
# NaEr6Se8

A relaxed structure of NaEr6Se8 (PBE, Alexandria).

Total magnetic moment = 0.00 μB/cell
Formation energy (no corrections) = -158 kJ/mol of atoms
V = 361.8 Å³ per cell

a b c (Å): 8.5488 8.5488 7.5527
angles (deg): 55.53 55.53 60.00
Positions (direct):
Se1 0.0958 0.3660 0.7287
Se2 0.3660 0.8095 0.7287
Se3 0.9042 0.6340 0.2713
Se4 0.1905 0.9042 0.2713
Se5 0.6758 0.6758 0.9727
Se6 0.8095 0.0958 0.7287
Se7 0.6340 0.1905 0.2713
Se8 0.3242 0.3242 0.0273
Er1 0.9142 0.3053 0.2382
Er2 0.0858 0.6947 0.7618
Er3 0.5423 0.9142 0.2382
Er4 0.6947 0.4577 0.7618
Er5 0.4577 0.0858 0.7618
Er6 0.3053 0.5423 0.2382
Na1 0.0000 0.0000 0.0000

# 3
# NaNiSbCl2

A relaxed structure of NaNiSbCl2 (PBE, Alexandria).

Total magnetic moment = 1.82 μB/cell
Formation energy (no corrections) = 35 kJ/mol of atoms
V = 178.7 Å³ per cell

a b c (Å): 5.2869 6.3914 5.2869
angles (deg): 90.00 90.00 90.00
Site moments in Bohr magnetons follow the coordinates.
Positions (direct):
Na1 0.0000 0.5000 0.0000  0.00
Cl1 0.5000 0.0000 0.0000  0.02
Cl2 0.0000 0.0000 0.5000  0.02
Ni1 0.5000 0.5000 0.5000  1.27
Sb1 0.0000 0.0000 0.0000  0.05

# 4
# TbPrDy2Tm

A relaxed structure of TbPrDy2Tm (PBE, Alexandria).

Total magnetic moment = 0.00 μB/cell
DFT formation energy = 386 meV per atom
V = 347.6 Å³ per cell

a b c (Å): 7.2012 8.4032 7.1173
angles (deg): 126.18 90.00 90.00
Positions (direct):
Pr1 0.7500 0.2712 0.5423
Pr2 0.2500 0.7288 0.4577
Dy1 0.5000 0.3105 0.0000
Dy2 0.5000 0.6895 0.0000
Dy3 0.0000 0.6895 0.0000
Dy4 0.0000 0.3105 0.0000
Tb1 0.2500 0.9991 0.9981
Tb2 0.7500 0.0009 0.0019
Tm1 0.7500 0.7216 0.4431
Tm2 0.2500 0.2784 0.5569